This record from the Alexandria database describes an optimized crystal structure of Fe3Co5. The functional is PBE.

As for the total energy: -7.6078 eV per atom.

The space group is Immm (No. 71) and the conventional cell measures 2.832, 3.984 and 16.108 Å, with angles of 90.00, 90.00 and 90.00 degrees. The asymmetric unit holds Fe at (0.000, 0.000, 0.000), Fe at (0.000, 0.500, 0.375), Co at (0.000, 0.000, 0.247), Co at (0.000, 0.000, 0.500) and Co at (0.000, 0.500, 0.126).